Density functional theory data (PBE) for Ce3TlCo after structural relaxation.

Structure (POSCAR):
```
Ce3TlCo
1.0
5.1506 0.0000 0.0000
0.0000 5.1506 0.0000
0.0000 0.0000 5.1506
Ce Tl Co
3 1 1
direct
0.0000 0.0000 0.5000
0.0000 0.5000 0.0000
0.5000 0.0000 0.0000
0.5000 0.5000 0.5000
0.0000 0.0000 0.0000
```

Output
* E: -0.413 Ry per atom
* total moment: 1.799 Bohr magnetons per cell

Density functional theory data (PBE) for Ce4Tl2Co after structural relaxation.

Structure (POSCAR):
```
Ce4Tl2Co
1.0
-1.9124 -2.9143 -0.4909
-0.9808 -0.7966 8.5498
-5.1241 3.5933 -1.3701
Ce Tl Co
4 2 1
direct
0.0000 0.4203 0.1433
0.5000 0.0781 0.3513
0.0000 0.7225 0.9996
0.5000 0.0647 0.7916
0.5000 0.7203 0.4717
0.5000 0.4225 0.6712
0.0000 0.0714 0.0715
```

Output
* E: -0.380 Ry per atom
* total moment: 3.049 Bohr magnetons per cell

Density functional theory data (PBE) for Ce5Tl4Co after structural relaxation.

Structure (POSCAR):
```
Ce5Tl4Co
1.0
4.6746 0.0000 0.0000
2.3373 7.5578 0.0000
2.3373 0.0000 7.5578
Ce Tl Co
5 4 1
direct
0.5009 0.0000 0.0000
0.8107 0.0000 0.3806
0.1913 0.0000 0.6194
0.8108 0.3806 0.0000
0.1913 0.6194 0.0000
0.1714 0.3297 0.3298
0.5012 0.6702 0.3297
0.5011 0.3298 0.6703
0.8309 0.6703 0.6702
0.0007 0.0000 0.0000
```

Output
* E: -0.353 Ry per atom
* total moment: 2.346 Bohr magnetons per cell

Density functional theory data (PBE) for Ce5Tl2Co after structural relaxation.

Structure (POSCAR):
```
Ce5Tl2Co
1.0
-3.2455 -4.8040 -3.8438
5.7165 -0.9545 -3.6340
-0.0468 -0.2123 6.5985
Ce Tl Co
5 2 1
direct
0.7927 0.2936 0.0778
0.2851 0.2935 0.0778
0.2554 0.7008 0.9218
0.7143 0.6858 0.4285
0.6664 0.7008 0.9218
0.2397 0.8378 0.4794
0.7558 0.2196 0.5116
0.0676 0.0450 0.1353
```

Output
* E: -0.386 Ry per atom
* total moment: 0.620 Bohr magnetons per cell

Density functional theory data (PBE) for Ce3TlCo after structural relaxation.

Structure (POSCAR):
```
Ce3TlCo
1.0
3.5725 0.0012 0.0000
1.7825 6.5644 0.0000
0.0000 0.0000 10.9799
Ce Tl Co
6 2 2
direct
0.3523 0.2934 0.7730
0.6477 0.7065 0.2730
0.6477 0.7065 0.7270
0.9771 0.0467 0.5000
0.0229 0.9534 0.0000
0.3523 0.2934 0.2270
0.7470 0.5035 0.0000
0.2530 0.4965 0.5000
0.0000 0.0000 0.2501
0.0000 0.0000 0.7499
```

Output
* E: -0.412 Ry per atom
* total moment: 3.784 Bohr magnetons per cell

Density functional theory data (PBE) for Ce4Tl3Co after structural relaxation.

Structure (POSCAR):
```
Ce4Tl3Co
1.0
-3.6192 -4.7083 -1.2656
4.7004 -4.1496 1.9954
-3.9048 0.3394 9.9038
Co Ce Tl
2 8 6
direct
0.9823 0.4166 0.0000
0.4823 0.5834 0.5000
0.7356 0.9565 0.5000
0.0079 0.2020 0.1988
0.0079 0.2020 0.8012
0.2356 0.0435 0.0000
0.5079 0.7980 0.3012
0.5085 0.4059 0.0000
0.5079 0.7980 0.6988
0.0085 0.5941 0.5000
0.2170 0.1165 0.5000
0.0281 0.6934 0.1945
0.5281 0.3066 0.3055
0.5281 0.3066 0.6945
0.0281 0.6934 0.8055
0.7170 0.8835 0.0000
```

Output
* E: -0.356 Ry per atom
* total moment: 3.873 Bohr magnetons per cell

Density functional theory data (PBE) for Ce7Tl2Co2 after structural relaxation.

Structure (POSCAR):
```
Ce7Tl2Co2
1.0
-5.9750 0.2991 -3.3767
1.5201 -5.7832 -3.2029
-0.7343 -3.4555 5.8918
Ce Co Tl
7 2 2
direct
0.5002 0.7993 0.4998
0.4997 0.2565 0.0002
0.0000 0.0000 0.0000
0.0002 0.7435 0.4997
0.5003 0.7435 0.9998
0.4998 0.2007 0.5002
0.9998 0.2565 0.5003
0.7265 0.0000 0.2735
0.2735 0.0000 0.7265
0.1830 0.5000 0.1830
0.8170 0.5000 0.8170
```

Output
* E: -0.409 Ry per atom
* total moment: 3.562 Bohr magnetons per cell

Density functional theory data (PBE) for Ce5Tl2Co after structural relaxation.

Structure (POSCAR):
```
Ce5Tl2Co
1.0
-1.1572 -1.0866 -6.5113
6.3115 -2.1192 -0.7681
-3.9184 -2.7433 4.6036
Ce Tl Co
5 2 1
direct
0.2470 0.2470 0.9668
0.7198 0.2471 0.9669
0.2469 0.7197 0.9666
0.7197 0.7198 0.9667
0.7757 0.7755 0.5513
0.7289 0.2289 0.4579
0.2290 0.7291 0.4579
0.1099 0.1100 0.2198
```

Output
* E: -0.385 Ry per atom
* total moment: 4.110 Bohr magnetons per cell

Density functional theory data (PBE) for Ce11Tl9Co4 after structural relaxation.

Structure (POSCAR):
```
Ce11Tl9Co4
1.0
-2.0448 -0.7499 -2.9841
-6.8703 -8.9906 6.9670
-5.6128 12.0160 0.8265
Tl Ce Co
9 11 4
direct
0.5000 0.7753 0.9169
0.5000 0.1532 0.6405
0.5000 0.5000 0.5000
0.5000 0.3595 0.8468
0.5000 0.8468 0.3595
0.5000 0.6405 0.1532
0.5000 0.9169 0.7753
0.5000 0.2247 0.0831
0.5000 0.0831 0.2247
0.0000 0.6826 0.6826
0.0000 0.9100 0.5733
0.0000 0.8513 0.1487
0.0000 0.0900 0.4267
0.0000 0.4267 0.0900
0.0000 0.0000 0.0000
0.0000 0.3174 0.3174
0.0000 0.1487 0.8513
0.0000 0.3727 0.6273
0.0000 0.5733 0.9100
0.0000 0.6273 0.3727
0.5000 0.4485 0.2443
0.5000 0.7557 0.5515
0.5000 0.2443 0.4485
0.5000 0.5515 0.7557
```

Output
* E: -0.371 Ry per atom
* total moment: 7.004 Bohr magnetons per cell

Density functional theory data (PBE) for Ce8Tl2Co after structural relaxation.

Structure (POSCAR):
```
Ce8Tl2Co
1.0
5.2616 -0.1202 -1.8249
-0.6785 6.4154 -2.0623
-0.6279 0.1503 8.6934
Ce Tl Co
8 2 1
direct
0.8694 0.8130 0.6528
0.4046 0.5632 0.7834
0.0705 0.2589 0.0444
0.1307 0.1871 0.3471
0.5953 0.4367 0.2165
0.9295 0.7414 0.9557
0.5920 0.8783 0.2463
0.4081 0.1214 0.7537
0.1974 0.6984 0.3912
0.8027 0.3016 0.6088
0.4999 0.0000 0.0001
```

Output
* E: -0.405 Ry per atom
* total moment: 4.399 Bohr magnetons per cell

Density functional theory data (PBE) for Ce3TlCo after structural relaxation.

Structure (POSCAR):
```
Ce3TlCo
1.0
5.4838 0.0000 0.0000
-0.0001 6.4908 -0.6498
0.0000 -0.0991 6.7774
Ce Co Tl
6 2 2
direct
0.9756 0.4454 0.4532
0.4756 0.3191 0.7719
0.9756 0.5824 0.8754
0.4756 0.4561 0.1940
0.9756 0.0115 0.5019
0.4756 0.8900 0.1453
0.9756 0.7456 0.2004
0.4756 0.1559 0.4468
0.9756 0.1223 0.0159
0.4756 0.7793 0.6313
```

Output
* E: -0.414 Ry per atom
* total moment: 1.728 Bohr magnetons per cell

Density functional theory data (PBE) for Ce2Tl2Co after structural relaxation.

Structure (POSCAR):
```
Ce2Tl2Co
1.0
6.0520 0.0000 0.0000
0.0000 6.4513 0.0000
-3.0260 -3.2256 6.5236
Ce Co Tl
4 2 4
direct
0.6534 0.4901 0.3068
0.1534 0.8166 0.3068
0.8466 0.1834 0.6932
0.3466 0.5099 0.6932
0.7500 0.5000 0.0000
0.2500 0.5000 0.0000
0.5876 0.9241 0.1751
0.4124 0.0759 0.8249
0.9124 0.7489 0.8249
0.0876 0.2511 0.1751
```

Output
* E: -0.356 Ry per atom
* total moment: 3.370 Bohr magnetons per cell

The following energy relative to the elements values (in eV per formula unit) correspond, in order, to the records above: -0.84; -0.60; -1.74; -0.53; -0.78; -0.78; -0.68; -0.35; -6.05; -1.28; -0.91; -0.51.